# 1
An optimized crystal structure of CdCo2Ir2, computed with PBE.

The formation energy comes out at 208 meV/atom.

The space group is P4/mbm (No. 127) and the conventional cell measures 7.312, 7.312 and 2.711 Å, with angles of 90.00, 90.00 and 90.00 degrees. Symmetry generates all atoms from Cd at (0.000, 0.000, 0.000), Co at (0.121, 0.379, 0.000) and Ir at (0.171, 0.671, 0.500).

***

# 2
An optimized crystal structure of BeVPb3, computed with PBE.

The formation energy comes out at 845 meV/atom.

The space group is Pm-3m (No. 221) and the conventional cell measures 5.287, 5.287 and 5.287 Å, with angles of 90.00, 90.00 and 90.00 degrees. Symmetry generates all atoms from Be at (0.000, 0.000, 0.000), V at (0.500, 0.500, 0.500) and Pb at (0.000, 0.500, 0.500).

***

# 3
An optimized crystal structure of LiBi2Ir, computed with PBE.

The formation energy comes out at 75 meV/atom.

The space group is R-3m (No. 166, hexagonal axes) and the conventional cell measures 3.8174, 3.8174 and 26.9433 Å, with angles of 90.00, 90.00 and 120.00 degrees. Symmetry generates all atoms from Li at (0.0000, 0.0000, 0.0000), Bi at (0.0000, 0.0000, 0.1051) and Ir at (0.0000, 0.0000, 0.5000).

***

# 4
An optimized crystal structure of V4FeMo, computed with PBE.

The formation energy comes out at -126 meV/atom.

The space group is P4/mmm (No. 123) and the conventional cell measures 2.977, 2.977 and 8.947 Å, with angles of 90.00, 90.00 and 90.00 degrees. Symmetry generates all atoms from V at (0.000, 0.000, 0.158), V at (0.500, 0.500, 0.326), Fe at (0.500, 0.500, 0.000) and Mo at (0.000, 0.000, 0.500).

***

# 5
An optimized crystal structure of TmNp2Te5, computed with PBE.

The value obtained for the raw formation energy is -175 meV/atom.

The space group is P4/mmm (No. 123) and the conventional cell measures 7.389, 7.389 and 5.315 Å, with angles of 90.00, 90.00 and 90.00 degrees. Symmetry generates all atoms from Tm at (0.000, 0.000, 0.000), Np at (0.000, 0.500, 0.500), Te at (0.000, 0.000, 0.500) and Te at (0.279, 0.279, 0.000).

***

# 6
An optimized crystal structure of Sn3BMo, computed with PBE.

The formation energy comes out at 1091 meV/atom.

The space group is Pm-3m (No. 221) and the conventional cell measures 4.785, 4.785 and 4.785 Å, with angles of 90.00, 90.00 and 90.00 degrees. Symmetry generates all atoms from Sn at (0.000, 0.000, 0.500), B at (0.000, 0.000, 0.000) and Mo at (0.500, 0.500, 0.500).

***

# 7
An optimized crystal structure of Pm12P3Pt5, computed with PBE.

The formation energy comes out at -618 meV/atom.

The space group is Ia-3d (No. 230) and the conventional cell measures 17.001, 17.001 and 17.001 Å, with angles of 90.00, 90.00 and 90.00 degrees. Symmetry generates all atoms from Pm at (0.020, 0.069, 0.650), P at (0.000, 0.250, 0.125), Pt at (0.000, 0.000, 0.000) and Pt at (0.000, 0.250, 0.375).

***

# 8
An optimized crystal structure of Pm2SbH, computed with PBE.

The space group is Pnma (No. 62) and the conventional cell measures 6.466, 4.174 and 14.269 Å, with angles of 90.00, 90.00 and 90.00 degrees. Symmetry generates all atoms from Pm at (0.001, 0.250, 0.250), Pm at (0.249, 0.250, 0.551), Sb at (0.249, 0.250, 0.884) and H at (0.249, 0.750, 0.633).

***

# 9
An optimized crystal structure of CaPaPd4, computed with PBE.

The formation energy comes out at -550 meV/atom.

The space group is F-43m (No. 216) and the conventional cell measures 7.698, 7.698 and 7.698 Å, with angles of 90.00, 90.00 and 90.00 degrees. Symmetry generates all atoms from Ca at (0.000, 0.000, 0.000), Pa at (0.250, 0.250, 0.750) and Pd at (0.125, 0.125, 0.375).

***

# 10
An optimized crystal structure of K2HfMo, computed with PBE.

The formation energy comes out at 2031 meV/atom.

The space group is Fm-3m (No. 225) and the conventional cell measures 8.012, 8.012 and 8.012 Å, with angles of 90.00, 90.00 and 90.00 degrees. Symmetry generates all atoms from K at (0.250, 0.250, 0.250), Hf at (0.000, 0.000, 0.000) and Mo at (0.000, 0.000, 0.500).

***

# 11
An optimized crystal structure of ZrTlZn3, computed with PBE.

The formation energy comes out at 901 meV/atom.

The space group is Pm-3m (No. 221) and the conventional cell measures 4.957, 4.957 and 4.957 Å, with angles of 90.00, 90.00 and 90.00 degrees. Symmetry generates all atoms from Zr at (0.000, 0.000, 0.000), Tl at (0.500, 0.500, 0.500) and Zn at (0.000, 0.500, 0.500).

***

# 12
An optimized crystal structure of Ba2TlPb6, computed with PBE.

The formation energy comes out at -292 meV/atom.

The space group is C2/m (No. 12) and the conventional cell measures 12.782, 7.376 and 6.811 Å, with angles of 90.00, 90.09 and 90.00 degrees. Symmetry generates all atoms from Ba at (0.167, 0.000, 0.163), Tl at (0.000, 0.500, 0.000), Pb at (0.091, 0.227, 0.666) and Pb at (0.183, 0.500, 0.334).

***

# 13
An optimized crystal structure of BaY2Tl, computed with PBE.

The formation energy comes out at -58 meV/atom.

The space group is P4/mmm (No. 123) and the conventional cell measures 3.748, 3.748 and 10.129 Å, with angles of 90.00, 90.00 and 90.00 degrees. Symmetry generates all atoms from Ba at (0.000, 0.000, 0.000), Y at (0.500, 0.500, 0.308) and Tl at (0.000, 0.000, 0.500).

***

# 14
An optimized crystal structure of TaCu2Ni6, computed with PBE.

The formation energy comes out at 20 meV/atom.

The space group is P-62m (No. 189) and the conventional cell measures 7.0083, 7.0083 and 2.5558 Å, with angles of 90.00, 90.00 and 120.00 degrees. Symmetry generates all atoms from Ta at (0.0000, 0.0000, 0.0000), Cu at (0.3333, 0.6667, 0.5000), Ni at (0.0000, 0.3156, 0.5000) and Ni at (0.0000, 0.6436, 0.0000).

***

# 15
An optimized crystal structure of Rb4HI2, computed with PBE.

The space group is I4/mmm (No. 139) and the conventional cell measures 5.823, 5.823 and 20.196 Å, with angles of 90.00, 90.00 and 90.00 degrees. Symmetry generates all atoms from Rb at (0.000, 0.000, 0.182), Rb at (0.000, 0.500, 0.000), H at (0.000, 0.000, 0.000) and I at (0.000, 0.000, 0.380).

***

# 16
An optimized crystal structure of Y3CdPd6, computed with PBE.

The formation energy comes out at -764 meV/atom.

The space group is P2_1/m (No. 11) and the conventional cell measures 8.114, 4.916 and 10.430 Å, with angles of 90.00, 111.91 and 90.00 degrees. Symmetry generates all atoms from Y at (0.050, 0.250, 0.214), Y at (0.307, 0.250, 0.014), Y at (0.349, 0.750, 0.380), Cd at (0.124, 0.750, 0.568), Pd at (0.103, 0.250, 0.717), Pd at (0.115, 0.750, 0.082), Pd at (0.275, 0.250, 0.521), Pd at (0.315, 0.750, 0.858), Pd at (0.489, 0.250, 0.321) and Pd at (0.492, 0.250, 0.827).

***

# 17
An optimized crystal structure of NdPaPb6, computed with PBE.

The formation energy comes out at -177 meV/atom.

The space group is P4/mmm (No. 123) and the conventional cell measures 4.864, 4.864 and 9.775 Å, with angles of 90.00, 90.00 and 90.00 degrees. Symmetry generates all atoms from Nd at (0.000, 0.000, 0.000), Pa at (0.000, 0.000, 0.500), Pb at (0.000, 0.500, 0.255), Pb at (0.500, 0.500, 0.000) and Pb at (0.500, 0.500, 0.500).

***

# 18
An optimized crystal structure of InRe2Mo, computed with PBE.

The formation energy comes out at 246 meV/atom.

The space group is P4mm (No. 99) and the conventional cell measures 2.879, 2.879 and 8.026 Å, with angles of 90.00, 90.00 and 90.00 degrees. Symmetry generates all atoms from In at (0.000, 0.000, 0.000), Re at (0.000, 0.000, 0.515), Re at (0.500, 0.500, 0.729) and Mo at (0.500, 0.500, 0.278).

***

# 19
An optimized crystal structure of MgAl8, computed with PBE.

The formation energy comes out at 5 meV/atom.

The space group is I4/mmm (No. 139) and the conventional cell measures 8.652, 8.652 and 4.112 Å, with angles of 90.00, 90.00 and 90.00 degrees. Symmetry generates all atoms from Mg at (0.000, 0.000, 0.000), Al at (0.000, 0.335, 0.000) and Al at (0.169, 0.169, 0.500).

***

# 20
An optimized crystal structure of BaIr3Os, computed with PBE.

The formation energy comes out at 863 meV/atom.

The space group is Pm-3m (No. 221) and the conventional cell measures 4.868, 4.868 and 4.868 Å, with angles of 90.00, 90.00 and 90.00 degrees. Symmetry generates all atoms from Ba at (0.000, 0.000, 0.000), Ir at (0.000, 0.500, 0.500) and Os at (0.500, 0.500, 0.500).

***

Number 1: E_tot -6.3618 eV per atom. Number 2: E_tot -3.9485 eV per atom. Number 3: E_tot -4.5588 eV per atom. Number 4: E_tot -9.4203 eV per atom. Number 5: E_tot -5.9329 eV per atom. Number 6: E_tot -4.8120 eV per atom. Number 7: E_tot -5.7899 eV per atom. Number 8: E_tot -5.0732 eV per atom. Number 9: E_tot -5.9283 eV per atom. Number 10: E_tot -3.7135 eV per atom. Number 11: E_tot -2.0464 eV per atom. Number 12: E_tot -3.4547 eV per atom. Number 13: E_tot -4.3619 eV per atom. Number 14: E_tot -6.0615 eV per atom. Number 15: E_tot -2.2810 eV per atom. Number 16: E_tot -5.9108 eV per atom. Number 17: E_tot -4.7413 eV per atom. Number 18: E_tot -9.3709 eV per atom. Number 19: E_tot -3.4987 eV per atom. Number 20: E_tot -7.0837 eV per atom.